Pm2Nd4Th3: optimized geometry, PBE.

Lattice parameters (Å, degrees): 3.5409 12.0224 14.9067 90.00 90.00 90.00
Space group Immm (No. 71)
Asymmetric unit:
Pm 0.0000 0.0000 0.1996 [4 per cell]
Nd 0.0000 0.2483 0.3696 [8 per cell]
Th 0.0000 0.5000 0.1040 [4 per cell]
Th 0.0000 0.5000 0.5000 [2 per cell]

As for the total magnetization: 0.0 μB per formula unit. The calculation puts the uncorrected energy at -5.38 eV per atom.

Pm4Nd3Th2: optimized geometry, PBE.

Lattice parameters (Å, degrees): 7.1827 8.6092 10.5328 98.57 99.82 102.08
Space group P-1 (No. 2)
Asymmetric unit:
Pm 0.0277 0.1655 0.4415 [2 per cell]
Pm 0.1710 0.5240 0.6633 [2 per cell]
Pm 0.3576 0.1685 0.7643 [2 per cell]
Pm 0.4355 0.1586 0.1066 [2 per cell]
Nd 0.1378 0.8284 0.2290 [2 per cell]
Nd 0.2455 0.4979 0.0062 [2 per cell]
Nd 0.4699 0.8308 0.5519 [2 per cell]
Th 0.0531 0.8397 0.8901 [2 per cell]
Th 0.3290 0.4733 0.3403 [2 per cell]

As for the total magnetization: 0.0 μB per formula unit. The calculation puts the uncorrected energy at -5.29 eV per atom.